Entry 1:
{
  "formula": "Zr3Ga3Ni2",
  "functional": "PBE",
  "state": "optimized geometry",
  "magnetic_moment_mub_per_fu": 0.001,
  "e_above_lowest_polymorph_mev_per_atom": 217,
  "crystal_system": "hexagonal",
  "spacegroup": "No. 187",
  "lattice_angstrom": [[6.298, 0.000, 0.000], [-3.149, 5.454, 0.000], [0.000, 0.000, 4.072]],
  "species": ["Zr", "Zr", "Zr", "Ga", "Ga", "Ga", "Ni", "Ni"],
  "frac_coords": [[0.168, 0.337, 0.000], [0.168, 0.832, 0.000], [0.663, 0.832, 0.000], [0.389, 0.194, 0.500], [0.806, 0.194, 0.500], [0.806, 0.611, 0.500], [0.333, 0.667, 0.500], [0.667, 0.333, 0.000]]
}



Entry 2:
{
  "formula": "NpGa",
  "functional": "PBE",
  "state": "optimized geometry",
  "magnetic_moment_mub_per_fu": 4.639,
  "e_tot_ev_per_atom": -7.285,
  "crystal_system": "cubic",
  "spacegroup": "No. 225",
  "lattice_angstrom": [[0.000, 2.872, 2.872], [2.872, 0.000, 2.872], [2.872, 2.872, 0.000]],
  "species": ["Np", "Ga"],
  "frac_coords": [[0.000, 0.000, 0.000], [0.500, 0.500, 0.500]]
}